The following is a PBE calculation of NaLiGa4 after structural relaxation, from Alexandria.

E above lowest polymorph: 0.0 meV/atom
calculated formation energy: -0.178 eV/atom

abc: 4.3213 5.6366 5.6364
angles: 74.44 67.46 67.46
Positions (direct):
1 Li 0.0000 0.5000 0.0000
2 Ga 0.6651 0.5397 0.6301
3 Ga 0.3349 0.4603 0.3699
4 Ga 0.6651 0.1301 0.0398
5 Na 0.0000 0.0000 0.5000
6 Ga 0.3349 0.8699 0.9602

=====

The following is a PBE calculation of BeReAg2 after structural relaxation, from Alexandria.

calculated formation energy: 0.305 eV/atom

abc: 2.7348 2.7377 7.7527
angles: 90.00 90.00 90.00
Positions (direct):
1 Re 0.5000 0.5000 0.7081
2 Ag 0.5000 0.5000 0.2909
3 Be 0.0000 0.0000 0.5067
4 Ag 0.0000 0.0000 0.9943

=====

The following is a PBE calculation of KInRuPb2 after structural relaxation, from Alexandria.

calculated formation energy: 0.118 eV/atom

abc: 5.3805 5.3805 5.2678
angles: 90.00 90.00 90.00
Positions (direct):
1 In 0.0000 0.0000 0.5000
2 Pb 0.5000 0.0000 0.0000
3 K 0.5000 0.5000 0.5000
4 Pb 0.0000 0.5000 0.0000
5 Ru 0.0000 0.0000 0.0000

=====

The following is a PBE calculation of Tl6CdHg after structural relaxation, from Alexandria.

E above lowest polymorph: 2.7 meV/atom
calculated formation energy: 0.033 eV/atom

abc: 4.6970 7.1019 7.1019
angles: 83.28 90.00 90.00
Positions (direct):
1 Tl 0.0000 0.2677 0.7323
2 Tl 0.0000 0.2319 0.2319
3 Cd 0.5000 0.5000 0.5000
4 Tl 0.5000 0.5000 0.0000
5 Hg 0.5000 0.0000 0.0000
6 Tl 0.0000 0.7323 0.2677
7 Tl 0.5000 0.0000 0.5000
8 Tl 0.0000 0.7681 0.7681

=====

| no. | electronic total energy (eV per atom) |
| --- | --- |
| 1 | -2.73 |
| 2 | -5.16 |
| 3 | -3.99 |
| 4 | -1.89 |